Entry 1:
A relaxed ScCuSn2Cl crystal, computed with PBE-GGA.

Cell: 5.207 4.583 5.207 Å, 90.00 90.00 90.00°
Sites, in units of the cell vectors:
Sc  0.500  0.500  0.500
Cu  0.000  0.000  0.000
Cl  0.000  0.500  0.000
Sn  0.000  0.000  0.500
Sn  0.500  0.000  0.000

Calculated values
The calculation puts the uncorrected formation energy at 0.15 eV/atom. The crystal system is tetragonal. The magnetic moment is 0.000 μB/atom. As for the space-group type: No. 123. The calculation puts the total energy at -3.91 eV/atom.

---

Entry 2:
A relaxed Ca2H3I crystal, computed with PBE-GGA.

Cell: 3.986 7.896 7.819 Å, 113.97 90.00 104.62°
Sites, in units of the cell vectors:
Ca  0.475  0.949  0.711
Ca  0.525  0.051  0.289
Ca  0.808  0.617  0.361
Ca  0.192  0.383  0.639
H  0.400  0.800  0.369
H  0.688  0.376  0.454
H  0.942  0.884  0.611
H  0.600  0.200  0.631
H  0.312  0.624  0.546
H  0.058  0.116  0.389
I  0.139  0.278  0.042
I  0.861  0.722  0.958

Calculated values
The crystal system is monoclinic. The magnetic moment is 0.000 μB/atom. As for the space-group type: No. 12. The calculation puts the total energy at -3.40 eV/atom.

---

Entry 3:
A relaxed CeCu2Sb2 crystal, computed with PBE-GGA.

Cell: 4.661 4.661 10.035 Å, 90.00 90.00 90.00°
Each line ends with the local moment (μB).
Sites, in units of the cell vectors:
Sb  0.500  0.500  0.500  0.00
Sb  0.500  0.000  0.127  -0.02
Sb  0.000  0.000  0.500  0.00
Sb  0.000  0.500  0.873  -0.02
Ce  0.500  0.000  0.760  0.98
Ce  0.000  0.500  0.240  0.98
Cu  0.000  0.500  0.624  0.00
Cu  0.500  0.000  0.376  0.00
Cu  0.000  0.000  0.000  -0.01
Cu  0.500  0.500  0.000  -0.01

Calculated values
The calculation puts the uncorrected formation energy at -0.40 eV/atom. The crystal system is tetragonal. The magnetic moment is 0.221 μB/atom. As for the space-group type: No. 129. The calculation puts the total energy at -4.87 eV/atom.